# 1
First-principles (PBE) data for a geometry-optimized PaMnAlSi2 structure, as listed in Alexandria.

CIF file:
```
data_PaMnAlSi2
_symmetry_space_group_name_H-M 'I -4 m 2'
_symmetry_Int_Tables_number 119
_symmetry_space_group_name_Hall 'I -4 -2'
_cell_length_a 3.895
_cell_length_b 3.895
_cell_length_c 10.793
_cell_angle_alpha 90.00
_cell_angle_beta 90.00
_cell_angle_gamma 90.00
loop_
_atom_site_label
_atom_site_type_symbol
_atom_site_fract_x
_atom_site_fract_y
_atom_site_fract_z
Pa1 Pa 0.000 0.000 0.000
Mn1 Mn 0.000 0.500 0.750
Al1 Al 0.000 0.500 0.250
Si1 Si 0.000 0.000 0.391
```

Computed properties:
energy relative to the elements, uncorrected = -2.31 eV/f.u.



# 2
First-principles (PBE) data for a geometry-optimized Pa2MnAl2Si4 structure, as listed in Alexandria.

CIF file:
```
data_Pa2MnAl2Si4
_symmetry_space_group_name_H-M 'I 4/m m m'
_symmetry_Int_Tables_number 139
_symmetry_space_group_name_Hall '-I 4 2'
_cell_length_a 6.023
_cell_length_b 6.023
_cell_length_c 8.311
_cell_angle_alpha 90.00
_cell_angle_beta 90.00
_cell_angle_gamma 90.00
loop_
_atom_site_label
_atom_site_type_symbol
_atom_site_fract_x
_atom_site_fract_y
_atom_site_fract_z
Pa1 Pa 0.000 0.500 0.250
Mn1 Mn 0.000 0.000 0.000
Al1 Al 0.000 0.000 0.287
Si1 Si 0.227 0.227 0.500
```

Computed properties:
energy relative to the elements, uncorrected = -3.92 eV/f.u.



Volume, respectively: 164; 301 Å³/cell.